IrOs2Pt: relaxed, GGA-PBE.

Calculated values
Total magnetic moment   0.00 μB per formula unit
Space-group type   No. 12
Electronic total energy   -9.20 eV/atom

Cell lengths 4.762, 4.762, 4.757 Å; angles 80.40, 80.40, 33.50 degrees
Sites, in units of the cell vectors:
1 Ir 0.250 0.250 0.250
2 Os 0.997 0.997 0.007
3 Os 0.503 0.503 0.493
4 Pt 0.750 0.750 0.750

MnInPd: relaxed, GGA-PBE.

Calculated values
Total magnetic moment   4.23 μB per formula unit
Space-group type   No. 107
Electronic total energy   -5.88 eV/atom

Cell lengths 3.408, 3.408, 5.057 Å; angles 109.69, 109.69, 90.00 degrees
Sites, in units of the cell vectors:
1 Mn 0.609 0.609 0.219
2 Pd 0.956 0.956 0.912
3 In 0.285 0.285 0.570

ThPaPt2: relaxed, GGA-PBE.

Calculated values
Total magnetic moment   0.91 μB per formula unit
Space-group type   No. 225
Electronic total energy   -8.10 eV/atom

Cell lengths 5.050, 5.050, 5.050 Å; angles 60.00, 60.00, 60.00 degrees
Sites, in units of the cell vectors:
1 Pa 0.000 0.000 0.000
2 Pt 0.250 0.250 0.250
3 Pt 0.750 0.750 0.750
4 Th 0.500 0.500 0.500

NaCa3Rh: relaxed, GGA-PBE.

Calculated values
Total magnetic moment   0.00 μB per formula unit
Space-group type   No. 14
Electronic total energy   -3.09 eV/atom

Cell lengths 28.082, 6.651, 10.762 Å; angles 90.00, 161.01, 90.00 degrees
Sites, in units of the cell vectors:
1 Na 0.043 0.068 0.469
2 Na 0.957 0.932 0.531
3 Na 0.457 0.568 0.031
4 Na 0.543 0.432 0.969
5 Ca 0.341 0.888 0.049
6 Ca 0.659 0.112 0.951
7 Ca 0.159 0.388 0.451
8 Ca 0.841 0.612 0.549
9 Ca 0.329 0.432 0.177
10 Ca 0.671 0.568 0.823
11 Ca 0.171 0.932 0.323
12 Ca 0.829 0.068 0.677
13 Ca 0.389 0.911 0.538
14 Ca 0.611 0.089 0.462
15 Ca 0.111 0.411 0.962
16 Ca 0.889 0.589 0.038
17 Rh 0.549 0.724 0.751
18 Rh 0.451 0.276 0.249
19 Rh 0.951 0.224 0.749
20 Rh 0.049 0.776 0.251

Li7Sn4Ge: relaxed, GGA-PBE.

Calculated values
Total magnetic moment   0.00 μB per formula unit
Space-group type   No. 12
Electronic total energy   -3.02 eV/atom

Cell lengths 4.897, 8.298, 7.103 Å; angles 80.14, 69.84, 72.84 degrees
Sites, in units of the cell vectors:
1 Li 0.784 0.860 0.572
2 Li 0.216 0.140 0.428
3 Li 0.063 0.673 0.200
4 Li 0.937 0.327 0.800
5 Li 0.350 0.594 0.705
6 Li 0.500 0.000 0.000
7 Li 0.650 0.406 0.295
8 Sn 0.569 0.205 0.657
9 Sn 0.431 0.795 0.343
10 Sn 0.701 0.647 0.950
11 Sn 0.299 0.353 0.050
12 Ge 0.000 0.000 0.000

TeAsPCl2: relaxed, GGA-PBE.

Calculated values
Total magnetic moment   1.41 μB per formula unit
Space-group type   No. 123
E_form (uncorrected)   0.644 eV/atom

Cell lengths 5.142, 5.142, 5.490 Å; angles 90.00, 90.00, 90.00 degrees
Sites, in units of the cell vectors:
1 P 0.000 0.000 0.500
2 As 0.500 0.500 0.500
3 Te 0.000 0.000 0.000
4 Cl 0.000 0.500 0.000
5 Cl 0.500 0.000 0.000